## LiMnBO3 (SCAN)

Data for LiMnBO3 at its PBEsol-relaxed geometry.

Unit cell a=3.109 b=8.231 c=8.231 alpha=120.00 beta=90.00 gamma=90.00
Sites, in units of the cell vectors:
Li1 0.500 0.982 0.624
Mn1 0.000 0.020 0.317
O1 0.500 0.805 0.897
Mn2 0.000 0.297 0.980
O2 0.500 0.103 0.909
Li2 0.500 0.642 0.018
O3 0.000 0.142 0.597
B1 0.000 0.667 0.333
B2 0.000 0.333 0.667
O4 0.000 0.455 0.858
Mn3 0.000 0.683 0.703
Li3 0.500 0.376 0.358
B3 0.500 0.000 0.000
O5 0.000 0.403 0.545
O6 0.000 0.473 0.253
O7 0.500 0.091 0.195
O8 0.000 0.780 0.527
O9 0.000 0.747 0.220

crystal system	hexagonal
polymorph energy (0 for the lowest one)	55	meV per atom
density of states at the Fermi level	0.000	states/eV/atom
space-group type	No. 174
formation energy (no corrections)	-2.345	eV/atom